# BaSeBrO4 (PBE, relaxed)
# Formation energy (no corrections)   -9.51 eV per formula unit
data_BaSeBrO4
_chemical_formula_sum 'Ba4 Se4 Br4 O16'
_cell_length_a 13.077
_cell_length_b 6.531
_cell_length_c 7.120
_cell_angle_alpha 90.00
_cell_angle_beta 107.03
_cell_angle_gamma 90.00
_symmetry_space_group_name_H-M 'C 1 2/m 1'
_symmetry_Int_Tables_number 12
_symmetry_space_group_name_Hall '-C 2y'
loop_
_atom_site_label
_atom_site_type_symbol
_atom_site_fract_x
_atom_site_fract_y
_atom_site_fract_z
_atom_site_occupancy
Ba1 Ba 0.174 0.000 0.255 1
Se1 Se 0.158 0.000 0.746 1
Br1 Br 0.014 0.500 0.168 1
O1 O 0.047 0.000 0.820 1
O2 O 0.165 0.205 0.606 1
O3 O 0.239 0.500 0.050 1


# Y6TmSc5 (PBE, relaxed)
# Energy of formation   0.8 eV/f.u.
data_Y6TmSc5
_chemical_formula_sum 'Y12 Tm2 Sc10'
_cell_length_a 5.978
_cell_length_b 10.349
_cell_length_c 11.308
_cell_angle_alpha 90.00
_cell_angle_beta 100.14
_cell_angle_gamma 90.00
_symmetry_space_group_name_H-M 'C 1 2/m 1'
_symmetry_Int_Tables_number 12
_symmetry_space_group_name_Hall '-C 2y'
loop_
_atom_site_label
_atom_site_type_symbol
_atom_site_fract_x
_atom_site_fract_y
_atom_site_fract_z
_atom_site_occupancy
Y1 Y 0.249 0.000 0.253 1
Y2 Y 0.249 0.168 0.747 1
Tm1 Tm 0.000 0.500 0.000 1
Sc1 Sc 0.000 0.000 0.500 1
Sc2 Sc 0.000 0.167 0.000 1
Sc3 Sc 0.000 0.333 0.500 1


Number 1: total DFT energy (no corrections) -5.203 eV per atom. Number 2: total DFT energy (no corrections) -6.175 eV per atom.